Density functional theory data (PBE-GGA) for Nd3UTl3S8 after structural relaxation.

electronic total energy: -5.816 eV/atom
uncorrected formation energy: -1.435 eV per atom

```
data_Nd3UTl3S8
_cell_length_a 8.2806
_cell_length_b 8.2806
_cell_length_c 22.6599
_cell_angle_alpha 90.00
_cell_angle_beta 90.00
_cell_angle_gamma 120.00
_symmetry_space_group_name_H-M 'R -3 m'
_symmetry_Int_Tables_number 166
_symmetry_space_group_name_Hall '-R 3 2"'
loop_
_atom_site_label
_atom_site_type_symbol
_atom_site_fract_x
_atom_site_fract_y
_atom_site_fract_z
_atom_site_occupancy
Nd1 Nd 0.0000 0.5000 0.0000 1
U1 U 0.0000 0.0000 0.0000 1
Tl1 Tl 0.0000 0.5000 0.5000 1
S1 S 0.0000 0.0000 0.2654 1
S2 S 0.0160 0.5080 0.7317 1
```